1.
The following is a DFT calculation (PBE) of Ce12SiPt6 after structural relaxation.

Unit cell a=8.2327 b=8.2327 c=8.2327 alpha=96.97 beta=96.97 gamma=96.97
Positions (direct):
1 Ce 0.0181 0.9469 0.6547
2 Ce 0.0531 0.3453 0.9819
3 Ce 0.1872 0.5818 0.4173
4 Ce 0.3453 0.9819 0.0531
5 Ce 0.4173 0.1872 0.5818
6 Ce 0.4182 0.5827 0.8128
7 Ce 0.5818 0.4173 0.1872
8 Ce 0.5827 0.8128 0.4182
9 Ce 0.6547 0.0181 0.9469
10 Ce 0.8128 0.4182 0.5827
11 Ce 0.9469 0.6547 0.0181
12 Ce 0.9819 0.0531 0.3453
13 Si 0.0000 0.0000 0.0000
14 Pt 0.1297 0.3265 0.6363
15 Pt 0.3265 0.6363 0.1297
16 Pt 0.3637 0.8703 0.6735
17 Pt 0.6363 0.1297 0.3265
18 Pt 0.6735 0.3637 0.8703
19 Pt 0.8703 0.6735 0.3637

Results
Total magnetization ... 10.5 μB per cell
Volume ... 28.66 A^3/atom
Energy relative to the elements, uncorrected ... -0.5813 eV/atom



2.
The following is a DFT calculation (PBE) of MgCuPt3 after structural relaxation.

Unit cell a=4.5899 b=4.5899 c=4.5899 alpha=90.00 beta=90.00 gamma=90.00
Positions (direct):
1 Mg 0.0000 0.0000 0.0000
2 Cu 0.5000 0.5000 0.5000
3 Pt 0.0000 0.5000 0.5000
4 Pt 0.5000 0.0000 0.5000
5 Pt 0.5000 0.5000 0.0000

Results
DFT total energy ... -4.2933 eV/atom
Total magnetization ... 0.0 μB per cell
Volume ... 19.34 A^3/atom



3.
The following is a DFT calculation (PBE) of CaCr2Tc after structural relaxation.

Unit cell a=4.8091 b=4.8091 c=5.3772 alpha=105.61 beta=105.61 gamma=36.24
Positions (direct):
1 Ca 0.0000 0.0000 0.0000
2 Cr 0.4907 0.4907 0.4961
3 Cr 0.7936 0.7936 0.3563
4 Tc 0.2126 0.2126 0.6401

Results
DFT total energy ... -7.2887 eV/atom
Total magnetization ... 0.0 μB per cell
Volume ... 17.63 A^3/atom



4.
The following is a DFT calculation (PBE) of Pr3Sm6Dy2 after structural relaxation.

Unit cell a=32.7165 b=32.7165 c=32.7165 alpha=6.37 beta=6.37 gamma=6.37
Positions (direct):
1 Pr 0.0000 0.0000 0.0000
2 Pr 0.2719 0.2719 0.2719
3 Pr 0.7281 0.7281 0.7281
4 Sm 0.0923 0.0923 0.0923
5 Sm 0.1818 0.1818 0.1818
6 Sm 0.3641 0.3641 0.3641
7 Sm 0.6359 0.6359 0.6359
8 Sm 0.8182 0.8182 0.8182
9 Sm 0.9077 0.9077 0.9077
10 Dy 0.4552 0.4552 0.4552
11 Dy 0.5448 0.5448 0.5448

Results
DFT total energy ... -4.6997 eV/atom
Total magnetization ... 0.0 μB per cell
Volume ... 33.95 A^3/atom



5.
The following is a DFT calculation (PBE) of SrLi2AsS4 after structural relaxation.

Unit cell a=6.1442 b=6.1442 c=6.1442 alpha=114.33 beta=114.33 gamma=100.14
Positions (direct):
1 Sr 0.0000 0.0000 0.0000
2 Li 0.2500 0.7500 0.5000
3 Li 0.7500 0.2500 0.5000
4 As 0.5000 0.5000 0.0000
5 S 0.1267 0.5311 0.0000
6 S 0.4689 0.4689 0.5956
7 S 0.5311 0.1267 0.0000
8 S 0.8733 0.8733 0.4044

Results
Total magnetization ... 0.0 μB per cell
Volume ... 21.89 A^3/atom
Energy relative to the elements, uncorrected ... -1.0257 eV/atom



6.
The following is a DFT calculation (PBE) of KWBr2 after structural relaxation.

Unit cell a=3.6602 b=4.7781 c=6.7350 alpha=90.00 beta=90.00 gamma=90.00
Positions (direct):
1 K 0.0000 0.0000 0.0000
2 W 0.0000 0.5000 0.5000
3 Br 0.5000 0.0000 0.5000
4 Br 0.5000 0.5000 0.0000

Results
Total magnetization ... 4.6 μB per cell
Volume ... 29.45 A^3/atom
Energy relative to the elements, uncorrected ... 0.4667 eV/atom



7.
The following is a DFT calculation (PBE) of TiTeN3 after structural relaxation.

Unit cell a=3.9172 b=3.9172 c=3.9172 alpha=90.00 beta=90.00 gamma=90.00
Positions (direct):
1 Ti 0.0000 0.0000 0.0000
2 Te 0.5000 0.5000 0.5000
3 N 0.0000 0.5000 0.5000
4 N 0.5000 0.0000 0.5000
5 N 0.5000 0.5000 0.0000

Results
Total magnetization ... 0.0 μB per cell
Volume ... 12.02 A^3/atom
Energy relative to the elements, uncorrected ... 1.1697 eV/atom